1.
VASP calculation (PBE-GGA) on CrTeSe2 after structural relaxation.

Summary:
- formation energy (no corrections) (eV/f.u.) = -0.5

Lattice parameters (Å, degrees): 4.8835 3.6110 5.6809 90.00 101.21 90.00
Closest atoms and distances in Å follow each position.
Fractional positions:
Cr 0.0000 0.0000 0.0000  4 Se 2.45-2.51
Te 0.7904 0.5000 0.6227  3 Se 2.74-3.04, 2 Cr 2.84
Se 0.1306 0.5000 0.2914  2 Cr 2.45, 1 Te 2.74
Se 0.4750 0.0000 0.9072  2 Cr 2.48-2.51

2.
VASP calculation (PBE-GGA) on CrTeSe2 after structural relaxation.

Summary:
- formation energy (no corrections) (eV/f.u.) = 0.0

Lattice parameters (Å, degrees): 3.6236 3.6236 25.2459 90.00 90.00 120.00
Closest atoms and distances in Å follow each position.
Fractional positions:
Cr 0.0000 0.0000 0.0000  3 Se 2.45
Cr 0.3333 0.6667 0.6667  3 Se 2.45
Cr 0.6667 0.3333 0.3333  3 Se 2.45
Te 0.0000 0.0000 0.7412  3 Cr 2.81, 3 Se 2.89
Te 0.3333 0.6667 0.4079  3 Cr 2.81, 3 Se 2.89
Te 0.6667 0.3333 0.0745  3 Cr 2.81, 3 Se 2.89
Se 0.0000 0.0000 0.2830  3 Cr 2.45
Se 0.0000 0.0000 0.4871  3 Te 2.89
Se 0.3333 0.6667 0.1538  3 Te 2.89
Se 0.3333 0.6667 0.9496  3 Cr 2.45
Se 0.6667 0.3333 0.6163  3 Cr 2.45
Se 0.6667 0.3333 0.8204  3 Te 2.89

3.
VASP calculation (PBE-GGA) on CrTeSe after structural relaxation.

Summary:
- energy relative to the lowest polymorph listed for this composition (meV per atom) = 24
- formation energy (no corrections) (eV/f.u.) = -0.9

Lattice parameters (Å, degrees): 13.2232 3.5875 6.2938 90.00 95.20 90.00
Closest atoms and distances in Å follow each position.
Fractional positions:
Cr 0.0000 0.0000 0.0000  4 Se 2.51, 2 Te 2.71
Cr 0.0000 0.5000 0.5000  2 Se 2.50, 4 Te 2.69
Cr 0.5000 0.0000 0.5000  2 Se 2.50, 4 Te 2.69
Cr 0.5000 0.5000 0.0000  4 Se 2.51, 2 Te 2.71
Te 0.1300 0.0000 0.3581  3 Cr 2.69-2.71
Te 0.3700 0.5000 0.6419  3 Cr 2.69-2.71
Te 0.6300 0.5000 0.3581  3 Cr 2.69-2.71
Te 0.8700 0.0000 0.6419  3 Cr 2.69-2.71
Se 0.1054 0.5000 0.8505  3 Cr 2.50-2.51
Se 0.3946 0.0000 0.1495  3 Cr 2.50-2.51
Se 0.6054 0.0000 0.8505  3 Cr 2.50-2.51
Se 0.8946 0.5000 0.1495  3 Cr 2.50-2.51

4.
VASP calculation (PBE-GGA) on CrTeSe3 after structural relaxation.

Summary:
- energy relative to the lowest polymorph listed for this composition (meV per atom) = 0
- formation energy (no corrections) (eV/f.u.) = 1.2

Lattice parameters (Å, degrees): 4.7696 4.7696 4.7696 90.00 90.00 90.00
Closest atoms and distances in Å follow each position.
Fractional positions:
Cr 0.0000 0.0000 0.0000  6 Se 2.38
Te 0.5000 0.5000 0.5000  12 Se 3.37
Se 0.0000 0.0000 0.5000  2 Cr 2.38
Se 0.0000 0.5000 0.0000  2 Cr 2.38
Se 0.5000 0.0000 0.0000  2 Cr 2.38

5.
VASP calculation (PBE-GGA) on CrTeSe2 after structural relaxation.

Summary:
- formation energy (no corrections) (eV/f.u.) = 0.9

Lattice parameters (Å, degrees): 3.7952 3.8838 7.9523 90.00 90.00 90.00
Closest atoms and distances in Å follow each position.
Fractional positions:
Cr 0.0000 0.0000 0.0000  4 Se 2.72
Te 0.0000 0.5000 0.5000  4 Se 2.72
Se 0.5000 0.0000 0.5000  4 Te 2.72
Se 0.5000 0.5000 0.0000  4 Cr 2.72

6.
VASP calculation (PBE-GGA) on CrTe2Se after structural relaxation.

Summary:
- formation energy (no corrections) (eV/f.u.) = -0.3

Lattice parameters (Å, degrees): 5.3428 3.7401 5.3601 90.00 112.21 90.00
Closest atoms and distances in Å follow each position.
Fractional positions:
Cr 0.0000 0.0000 0.0000  2 Se 2.51, 4 Te 2.67-2.72
Te 0.4934 0.0000 0.9859  2 Cr 2.67-2.68
Te 0.8116 0.5000 0.6035  1 Se 2.69, 2 Cr 2.72
Se 0.1508 0.5000 0.3379  2 Cr 2.51, 1 Te 2.69

The highest formation energy (no corrections) belongs to which entry? CrTeSe3